# 1
Cd12In4Pb: relaxed, PBE.

a b c (Å): 8.661 8.669 8.667
angles (deg): 109.48 109.44 109.46
Positions (direct):
Cd: 0.647 0.502 0.854
Cd: 0.502 0.854 0.648
Cd: 0.854 0.648 0.502
Cd: 0.206 0.854 0.352
Cd: 0.648 0.794 0.146
Cd: 0.794 0.146 0.648
Cd: 0.854 0.352 0.206
Cd: 0.498 0.146 0.352
Cd: 0.146 0.352 0.498
Cd: 0.352 0.206 0.854
Cd: 0.146 0.648 0.794
Cd: 0.353 0.498 0.146
Pb: 0.000 0.000 0.000
In: 0.000 0.500 0.000
In: 0.500 0.000 0.000
In: 0.000 0.000 0.500
In: 0.500 0.500 0.500

Output
Fermi-level density of states in states/eV per cell: 10.21
V in Å³/atom: 29.48

# 2
Cd12In16Pb: relaxed, PBE.

a b c (Å): 9.922 9.922 9.881
angles (deg): 109.49 109.49 109.61
Positions (direct):
Cd: 0.184 0.814 0.807
Cd: 0.621 0.813 0.632
Cd: 0.190 0.376 0.998
Cd: 0.192 0.003 0.380
Cd: 0.001 0.371 0.187
Cd: 0.371 0.001 0.187
Cd: 0.618 0.618 0.813
Cd: 0.003 0.192 0.380
Cd: 0.813 0.621 0.632
Cd: 0.814 0.184 0.807
Cd: 0.818 0.818 0.184
Cd: 0.376 0.190 0.998
In: 0.333 0.333 0.337
In: 0.590 0.278 0.594
In: 0.308 0.716 0.310
In: 0.698 0.407 0.999
In: 0.997 0.997 0.993
In: 0.003 0.668 0.003
In: 0.309 0.309 0.719
In: 0.000 0.410 0.693
In: 0.407 0.698 0.999
In: 0.716 0.308 0.310
In: 0.668 0.003 0.003
In: 0.278 0.590 0.594
In: 0.688 0.002 0.403
In: 0.410 0.000 0.693
In: 0.002 0.688 0.403
In: 0.995 0.995 0.655
Pb: 0.597 0.597 0.286

Output
Fermi-level density of states in states/eV per cell: 10.59
V in Å³/atom: 25.77

# 3
CdIn2Pb: relaxed, PBE.

a b c (Å): 6.448 6.448 6.448
angles (deg): 148.03 127.97 62.38
Positions (direct):
Cd: 0.758 0.258 0.500
In: 0.243 0.743 0.500
In: 0.993 0.993 0.000
Pb: 0.506 0.506 0.000

Output
Fermi-level density of states in states/eV per cell: 1.55
V in Å³/atom: 27.70

# 4
CdIn7Pb4: relaxed, PBE.

a b c (Å): 3.460 3.460 32.928
angles (deg): 90.00 90.00 120.00
Positions (direct):
In: 0.667 0.333 0.574
In: 0.000 0.000 0.000
In: 0.333 0.667 0.173
In: 0.000 0.000 0.746
In: 0.667 0.333 0.827
In: 0.000 0.000 0.254
In: 0.333 0.667 0.426
Pb: 0.333 0.667 0.659
Pb: 0.667 0.333 0.086
Pb: 0.667 0.333 0.341
Pb: 0.333 0.667 0.914
Cd: 0.000 0.000 0.500

Output
Fermi-level density of states in states/eV per cell: 7.12
V in Å³/atom: 28.44

# 5
Cd4In4Pb: relaxed, PBE.

a b c (Å): 7.819 7.819 8.534
angles (deg): 90.00 90.00 90.00
Positions (direct):
In: 0.000 0.230 0.383
In: 0.270 0.500 0.883
In: 0.770 0.000 0.617
In: 0.230 0.000 0.617
In: 0.500 0.270 0.117
In: 0.000 0.770 0.383
In: 0.500 0.730 0.117
In: 0.730 0.500 0.883
Cd: 0.211 0.500 0.237
Cd: 0.289 0.000 0.263
Cd: 0.000 0.289 0.737
Cd: 0.000 0.711 0.737
Cd: 0.500 0.789 0.763
Cd: 0.711 0.000 0.263
Cd: 0.500 0.211 0.763
Cd: 0.789 0.500 0.237
Pb: 0.000 0.000 0.000
Pb: 0.500 0.500 0.500

Output
Fermi-level density of states in states/eV per cell: 7.84
V in Å³/atom: 28.99

# 6
Cd2In5Pb12: relaxed, PBE.

a b c (Å): 5.713 10.854 10.854
angles (deg): 62.00 78.91 78.91
Positions (direct):
In: 0.206 0.699 0.699
In: 0.794 0.301 0.301
In: 0.371 0.195 0.195
In: 0.629 0.805 0.805
In: 0.500 0.000 0.000
Pb: 0.390 0.361 0.825
Pb: 0.796 0.943 0.453
Pb: 0.943 0.097 0.097
Pb: 0.610 0.175 0.639
Pb: 0.809 0.584 0.584
Pb: 0.610 0.639 0.175
Pb: 0.796 0.453 0.943
Pb: 0.204 0.547 0.057
Pb: 0.204 0.057 0.547
Pb: 0.390 0.825 0.361
Pb: 0.057 0.903 0.903
Pb: 0.191 0.416 0.416
Cd: 0.000 0.249 0.751
Cd: 0.000 0.751 0.249

Output
Fermi-level density of states in states/eV per cell: 9.11
V in Å³/atom: 30.48

# 7
Cd3In2Pb3: relaxed, PBE.

a b c (Å): 4.515 4.734 10.813
angles (deg): 102.64 102.05 90.00
Positions (direct):
Cd: 0.125 0.125 0.249
Cd: 0.000 0.500 0.000
Cd: 0.875 0.875 0.751
Pb: 0.626 0.626 0.252
Pb: 0.500 0.000 0.000
Pb: 0.374 0.374 0.748
In: 0.749 0.249 0.499
In: 0.251 0.751 0.501

Output
Fermi-level density of states in states/eV per cell: 2.78
V in Å³/atom: 27.53

# 8
Cd3In2Pb: relaxed, PBE.

a b c (Å): 4.480 8.943 9.247
angles (deg): 118.72 90.00 104.51
Positions (direct):
Cd: 0.746 0.491 0.613
Cd: 0.254 0.509 0.387
Cd: 0.085 0.169 0.465
Cd: 0.915 0.831 0.535
Cd: 0.580 0.160 0.688
Cd: 0.420 0.840 0.312
In: 0.588 0.176 0.228
In: 0.412 0.824 0.772
In: 0.755 0.509 0.140
In: 0.245 0.491 0.860
Pb: 0.085 0.170 0.955
Pb: 0.915 0.830 0.045

Output
Fermi-level density of states in states/eV per cell: 3.65
V in Å³/atom: 25.95

# 9
CdIn5Pb: relaxed, PBE.

a b c (Å): 5.119 5.119 7.764
angles (deg): 90.00 90.00 90.00
Positions (direct):
Pb: 0.000 0.000 0.000
In: 0.000 0.500 0.720
In: 0.500 0.000 0.280
In: 0.500 0.500 0.000
In: 0.500 0.000 0.720
In: 0.000 0.500 0.280
Cd: 0.000 0.000 0.500

Output
Fermi-level density of states in states/eV per cell: 1.93
V in Å³/atom: 29.06

# 10
CdIn12Pb6: relaxed, PBE.

a b c (Å): 8.235 8.235 8.235
angles (deg): 92.69 92.69 92.69
Positions (direct):
In: 0.537 0.463 0.209
In: 0.368 0.142 0.046
In: 0.791 0.463 0.537
In: 0.046 0.368 0.142
In: 0.632 0.858 0.954
In: 0.463 0.209 0.537
In: 0.142 0.046 0.368
In: 0.858 0.954 0.632
In: 0.537 0.791 0.463
In: 0.463 0.537 0.791
In: 0.954 0.632 0.858
In: 0.209 0.537 0.463
Cd: 0.000 0.000 0.000
Pb: 0.744 0.118 0.283
Pb: 0.283 0.744 0.118
Pb: 0.118 0.283 0.744
Pb: 0.256 0.882 0.717
Pb: 0.882 0.717 0.256
Pb: 0.717 0.256 0.882

Output
Fermi-level density of states in states/eV per cell: 8.34
V in Å³/atom: 29.29

# 11
Cd5In3Pb12: relaxed, PBE.

a b c (Å): 15.487 15.487 15.487
angles (deg): 109.47 109.47 109.47
Positions (direct):
Pb: 0.936 0.365 0.271
Pb: 0.729 0.135 0.064
Pb: 0.594 0.865 0.429
Pb: 0.406 0.271 0.335
Pb: 0.271 0.865 0.936
Pb: 0.406 0.135 0.571
Pb: 0.635 0.064 0.229
Pb: 0.135 0.406 0.071
Pb: 0.271 0.406 0.835
Pb: 0.064 0.429 0.835
Pb: 0.635 0.571 0.906
Pb: 0.729 0.594 0.165
Pb: 0.436 0.665 0.071
Pb: 0.906 0.835 0.771
Pb: 0.064 0.635 0.729
Pb: 0.571 0.635 0.406
Pb: 0.365 0.936 0.771
Pb: 0.335 0.771 0.406
Pb: 0.771 0.436 0.365
Pb: 0.665 0.436 0.571
Pb: 0.906 0.071 0.635
Pb: 0.929 0.835 0.564
Pb: 0.071 0.906 0.135
Pb: 0.229 0.564 0.635
Pb: 0.594 0.729 0.665
Pb: 0.936 0.571 0.165
Pb: 0.429 0.064 0.335
Pb: 0.865 0.271 0.436
Pb: 0.865 0.594 0.929
Pb: 0.335 0.564 0.429
Pb: 0.094 0.165 0.229
Pb: 0.665 0.229 0.594
Pb: 0.771 0.335 0.906
Pb: 0.429 0.365 0.594
Pb: 0.929 0.094 0.865
Pb: 0.365 0.429 0.094
Pb: 0.071 0.165 0.436
Pb: 0.564 0.335 0.929
Pb: 0.165 0.071 0.936
Pb: 0.135 0.729 0.564
Pb: 0.564 0.229 0.135
Pb: 0.835 0.929 0.064
Pb: 0.835 0.906 0.271
Pb: 0.229 0.665 0.094
Pb: 0.571 0.936 0.665
Pb: 0.165 0.094 0.729
Pb: 0.094 0.929 0.365
Pb: 0.436 0.771 0.865
In: 0.125 0.250 0.875
In: 0.875 0.750 0.125
In: 0.625 0.375 0.750
In: 0.375 0.750 0.625
In: 0.750 0.875 0.625
In: 0.750 0.375 0.125
In: 0.125 0.875 0.750
In: 0.875 0.125 0.250
In: 0.375 0.625 0.250
In: 0.625 0.250 0.375
In: 0.250 0.625 0.875
In: 0.250 0.125 0.375
Cd: 0.625 0.750 0.875
Cd: 0.125 0.375 0.250
Cd: 0.125 0.750 0.375
Cd: 0.250 0.375 0.625
Cd: 0.875 0.625 0.750
Cd: 0.000 0.500 0.500
Cd: 0.625 0.875 0.250
Cd: 0.500 0.000 0.000
Cd: 0.000 0.500 0.000
Cd: 0.375 0.125 0.750
Cd: 0.500 0.500 0.000
Cd: 0.000 0.000 0.500
Cd: 0.375 0.250 0.125
Cd: 0.750 0.625 0.375
Cd: 0.250 0.875 0.125
Cd: 0.500 0.500 0.500
Cd: 0.875 0.250 0.625
Cd: 0.750 0.125 0.875
Cd: 0.500 0.000 0.500
Cd: 0.000 0.000 0.000

Output
Fermi-level density of states in states/eV per cell: 36.31
V in Å³/atom: 35.74

# 12
CdInPb: relaxed, PBE.

a b c (Å): 7.411 7.411 7.411
angles (deg): 153.25 153.25 38.19
Positions (direct):
Cd: 0.996 0.996 0.000
In: 0.342 0.342 0.000
Pb: 0.662 0.662 0.000

Output
Fermi-level density of states in states/eV per cell: 1.12
V in Å³/atom: 27.44

Number 1: formation enthalpy at 0 K 207 meV/atom. Number 2: formation enthalpy at 0 K 24 meV/atom. Number 3: formation enthalpy at 0 K 47 meV/atom. Number 4: formation enthalpy at 0 K 26 meV/atom. Number 5: formation enthalpy at 0 K 136 meV/atom. Number 6: formation enthalpy at 0 K 60 meV/atom. Number 7: formation enthalpy at 0 K 46 meV/atom. Number 8: formation enthalpy at 0 K 35 meV/atom. Number 9: formation enthalpy at 0 K 66 meV/atom. Number 10: formation enthalpy at 0 K 60 meV/atom. Number 11: formation enthalpy at 0 K 174 meV/atom. Number 12: formation enthalpy at 0 K 37 meV/atom.